(1)
Compound: ZnCrPd6
Source: the Alexandria database
Functional: PBE
Structure: relaxed

Cell: 6.9045 7.2956 5.0501 Å, 43.11 46.62 57.92°
Closest atoms and distances in Å follow each position.
Fractional coordinates of all 8 atoms:
1 Pd 0.5544 0.7498 0.6394  8 Pd 2.62-2.92, 1 Cr 2.63, 1 Zn 2.63
2 Pd 0.2502 0.0509 0.2516  8 Pd 2.62-2.92, 1 Cr 2.64, 1 Zn 2.66
3 Pd 0.4456 0.2502 0.3606  8 Pd 2.62-2.92, 1 Cr 2.63, 1 Zn 2.63
4 Pd 0.7498 0.9491 0.7484  8 Pd 2.62-2.92, 1 Cr 2.64, 1 Zn 2.66
5 Pd 0.9490 0.4508 0.8502  8 Pd 2.62-2.91, 1 Zn 2.65, 1 Cr 2.66
6 Pd 0.0510 0.5492 0.1498  8 Pd 2.62-2.91, 1 Zn 2.65, 1 Cr 2.66
7 Zn 0.0000 0.0000 0.0000  6 Pd 2.63-2.66
8 Cr 0.5000 0.5000 0.5000  6 Pd 2.63-2.66

Energy of formation from the pure elements in eV per atom: -0.063
Offset from the most stable computed form in meV per atom: 137
Space group: No. 2
Density in kg/m3: 9952


(2)
Compound: Pu2TeS
Source: the Alexandria database
Functional: PBE
Structure: relaxed

Cell: 4.0718 4.0718 7.8684 Å, 75.00 75.00 60.00°
Closest atoms and distances in Å follow each position.
Fractional coordinates of all 4 atoms:
1 S 0.4977 0.4977 0.5068  6 Pu 2.86-2.93
2 Te 0.6682 0.6682 0.9954  6 Pu 3.11-3.14
3 Pu 0.0917 0.0917 0.7248  3 S 2.86, 3 Te 3.11
4 Pu 0.2423 0.2423 0.2730  3 S 2.93, 3 Te 3.14

Offset from the most stable computed form in meV per atom: 140
Space group: No. 160
Density in kg/m3: 9975
Energy relative to the elements, uncorrected in eV/atom: -1.256


(3)
Compound: Rb6ZrS4
Source: the Alexandria database
Functional: PBE
Structure: relaxed

Cell: 8.1620 11.1438 11.1438 Å, 120.00 90.00 90.00°
Closest atoms and distances in Å follow each position.
Fractional coordinates of all 22 atoms:
1 Rb 0.6402 0.9284 0.4642  5 S 3.46-3.76
2 Rb 0.1402 0.0716 0.5358  5 S 3.46-3.76
3 Rb 0.6402 0.5358 0.4642  5 S 3.46-3.76
4 Rb 0.1402 0.4642 0.5358  5 S 3.46-3.76
5 Rb 0.4676 0.7393 0.8696  3 S 3.42-3.77
6 Rb 0.4676 0.1304 0.8696  3 S 3.42-3.77
7 Rb 0.9676 0.8696 0.7393  3 S 3.42-3.77
8 Rb 0.6402 0.5358 0.0716  5 S 3.46-3.76
9 Rb 0.9676 0.2607 0.1304  3 S 3.42-3.77
10 Rb 0.4676 0.1304 0.2607  3 S 3.42-3.77
11 Rb 0.9676 0.8696 0.1304  3 S 3.42-3.77
12 Rb 0.1402 0.4642 0.9284  5 S 3.46-3.76
13 S 0.3361 0.4298 0.2149  1 Zr 2.44
14 S 0.3361 0.7851 0.5702  1 Zr 2.44
15 S 0.8361 0.2149 0.7851  1 Zr 2.44
16 S 0.3361 0.7851 0.2149  1 Zr 2.44
17 S 0.8361 0.2149 0.4298  1 Zr 2.44
18 S 0.4298 0.3333 0.6667  1 Zr 2.46
19 S 0.9298 0.6667 0.3333  1 Zr 2.46
20 S 0.8361 0.5702 0.7851  1 Zr 2.44
21 Zr 0.2309 0.6667 0.3333  4 S 2.44-2.46
22 Zr 0.7309 0.3333 0.6667  4 S 2.44-2.46

Space group: No. 186
Density in kg/m3: 2771
Energy relative to the elements, uncorrected in eV/atom: -1.060


(4)
Compound: RbSrB2H8
Source: the Alexandria database
Functional: PBE
Structure: relaxed

Cell: 4.5314 4.5314 8.1335 Å, 73.83 73.83 60.00°
Closest atoms and distances in Å follow each position.
Fractional coordinates of all 12 atoms:
1 H 0.2070 0.2070 0.3791  1 B 1.23
2 H 0.4277 0.9793 0.1654  1 B 1.24
3 H 0.5723 0.0207 0.8346  1 B 1.24
4 H 0.0207 0.5724 0.8346  1 B 1.24
5 H 0.9793 0.4276 0.1654  1 B 1.24
6 H 0.5724 0.5723 0.8346  1 B 1.25
7 H 0.4276 0.4277 0.1654  1 B 1.25
8 H 0.7930 0.7930 0.6209  1 B 1.23
9 Rb 0.5000 0.5000 0.5000  12 H 2.78-2.95
10 Sr 0.0000 0.0000 0.0000  12 H 2.60
11 B 0.7399 0.7399 0.7804  4 H 1.23-1.25
12 B 0.2601 0.2601 0.2196  4 H 1.23-1.25

Space group: No. 166
DFT total energy in eV per atom: -3.917
Density in kg/m3: 2459